CaHfC3 | PBE | optimized geometry

Cell: 4.107 4.107 4.107 Å, 90.00 90.00 90.00°
Atoms (fractional coordinates):
C: 0.000 0.000 0.500
C: 0.500 0.000 0.000
C: 0.000 0.500 0.000
Ca: 0.000 0.000 0.000
Hf: 0.500 0.500 0.500

**DFT formation energy**: 2.52 eV per atom
**Electronic total energy**: -5.40 eV per atom
**V**: 13.852 Å³/atom
**Offset from the most stable computed form**: 1.3913 eV per atom